LaRhAu SCAN PBEsol geometry; magnetization = 0.000 μB/f.u.; N(E_F) = 2.25 states/eV/f.u.; ΔE_f = -0.1294 eV per atom; crystal system = cubic
1.0
6.648 0.000 0.000
0.000 6.648 0.000
0.000 0.000 6.648
La Rh Au
4 4 4
direct
0.000 0.000 0.000
0.000 0.500 0.500
0.500 0.000 0.500
0.500 0.500 0.000
0.250 0.250 0.750
0.250 0.750 0.250
0.750 0.250 0.250
0.750 0.750 0.750
0.250 0.250 0.250
0.250 0.750 0.750
0.750 0.250 0.750
0.750 0.750 0.250


Ba2MnRh SCAN PBEsol geometry; magnetization = 4.402 μB/f.u.; N(E_F) = 3.79 states/eV/f.u.; ΔE_f = 0.0504 eV per atom; distance to the lowest polymorph of the same formula = 0.0 meV per atom; crystal system = tetragonal
1.0
3.572 0.000 0.000
0.000 3.572 0.000
0.000 0.000 9.220
Ba Mn Rh
2 1 1
direct
0.000 0.000 0.000
0.500 0.500 0.420
0.000 0.000 0.676
0.500 0.500 0.741


CuRe2Os SCAN PBEsol geometry; magnetization = 0.000 μB/f.u.; N(E_F) = 3.36 states/eV/f.u.; ΔE_f = 0.3875 eV per atom; distance to the lowest polymorph of the same formula = 75.0 meV per atom; crystal system = orthorhombic
1.0
2.845 0.000 0.000
0.000 4.365 0.000
0.000 0.000 8.835
Cu Re Os
2 4 2
direct
0.000 0.000 0.000
0.500 0.500 0.500
0.000 0.000 0.497
0.000 0.500 0.262
0.500 0.000 0.762
0.500 0.500 0.997
0.000 0.500 0.737
0.500 0.000 0.237


KPb SCAN PBEsol geometry; magnetization = 0.000 μB/f.u.; N(E_F) = 1.12 states/eV/f.u.; ΔE_f = -0.2970 eV per atom; distance to the lowest polymorph of the same formula = 106.9 meV per atom; crystal system = monoclinic
1.0
13.221 0.000 0.000
0.000 4.504 0.000
-2.670 0.000 7.415
K Pb
6 6
direct
0.000 0.000 0.000
0.020 0.000 0.461
0.205 0.500 0.829
0.500 0.500 0.000
0.520 0.500 0.461
0.705 0.000 0.829
0.201 0.500 0.342
0.317 0.000 0.198
0.350 0.000 0.607
0.701 0.000 0.342
0.817 0.500 0.198
0.850 0.500 0.607


ScTaPS2 SCAN PBEsol geometry; magnetization = 1.442 μB/f.u.; N(E_F) = 2.88 states/eV/f.u.; raw formation energy = 37.79 kJ/mol of atoms; crystal system = tetragonal
1.0
4.639 0.000 0.000
0.000 4.639 0.000
0.000 0.000 4.818
Sc Ta P S
1 1 1 2
direct
0.000 0.000 0.000
0.500 0.500 0.500
0.000 0.000 0.500
0.000 0.500 0.000
0.500 0.000 0.000


TlAgF2 SCAN PBEsol geometry; magnetization = 0.000 μB/f.u.; N(E_F) = 0.00 states/eV/f.u.; raw formation energy = -131.10 kJ/mol of atoms; distance to the lowest polymorph of the same formula = 2.3 meV per atom; crystal system = tetragonal
1.0
4.706 0.000 0.000
0.000 4.706 0.000
0.000 0.000 13.937
Tl Ag F
4 4 8
direct
0.000 0.000 0.000
0.000 0.500 0.250
0.500 0.000 0.750
0.500 0.500 0.500
0.000 0.000 0.500
0.000 0.500 0.750
0.500 0.000 0.250
0.500 0.500 0.000
0.190 0.250 0.625
0.250 0.690 0.875
0.250 0.810 0.375
0.310 0.250 0.125
0.690 0.750 0.125
0.750 0.190 0.375
0.750 0.310 0.875
0.810 0.750 0.625


Question: Which of these has the lowest N(E_F)?
Answer: TlAgF2


Question: Which of these has the lowest N(E_F)?
Answer: TlAgF2